# AcPu3S4, optimized geometry, DFT PBE
data_AcPu3S4
_cell_length_a 5.7765
_cell_length_b 5.7765
_cell_length_c 5.7765
_cell_angle_alpha 90.00
_cell_angle_beta 90.00
_cell_angle_gamma 90.00
_symmetry_space_group_name_H-M 'P 1'
_symmetry_Int_Tables_number 1
loop_
_symmetry_equiv_pos_as_xyz
'x,y,z'
loop_
_atom_site_label
_atom_site_fract_x
_atom_site_fract_y
_atom_site_fract_z
Ac1 0.0000 0.0000 0.0000
Pu1 0.0000 0.5000 0.5000
Pu2 0.5000 0.0000 0.5000
Pu3 0.5000 0.5000 0.0000
S1 0.0000 0.0000 0.5000
S2 0.0000 0.5000 0.0000
S3 0.5000 0.0000 0.0000
S4 0.5000 0.5000 0.5000
# crystal system: cubic
# ρ: 9367 kg/m³
# total energy: -77.645 eV for the cell shown